[1]
GaNiBiO2 | PBE with a Hubbard U | optimized geometry

The structure belongs to space group P4/mmm (No. 123); the cell edges are 4.025, 4.025 and 4.533 Å and the angles 90.00°, 90.00° and 90.00°. The asymmetric unit holds Ga at (0.000, 0.000, 0.000), Ni at (0.000, 0.000, 0.500), Bi at (0.500, 0.500, 0.000) and O at (0.000, 0.500, 0.500).

For the uncorrected energy, the calculation gives -19.43 eV for the cell shown. The magnetization comes out at 0.9 μB/f.u. The offset from the most stable computed form comes out at 0 meV per atom.

=====

[2]
GaNiBiO2 | PBE with a Hubbard U | optimized geometry

The structure belongs to space group P4/mmm (No. 123); the cell edges are 4.199, 4.199 and 5.956 Å and the angles 90.00°, 90.00° and 90.00°. The asymmetric unit holds Ga at (0.000, 0.000, 0.000), Ni at (0.500, 0.500, 0.000), Bi at (0.000, 0.000, 0.500) and O at (0.000, 0.500, 0.500).

For the uncorrected energy, the calculation gives -18.01 eV for the cell shown. The magnetization comes out at 1.1 μB/f.u. The offset from the most stable computed form comes out at 284 meV per atom.

=====

- What is the formula in the second record?
  GaNiBiO2